# BaTe2Pb2, relaxed, DFT PBE
# energy above the lowest structure with this stoichiometry: 0.007 eV/atom
# crystal system: tetragonal
# energy relative to the elements, uncorrected: -0.64 eV per atom
# total magnetization: 0.000 μB per formula unit
data_BaTe2Pb2
_chemical_formula_sum 'Ba1 Te2 Pb2'
_cell_length_a 4.586
_cell_length_b 4.586
_cell_length_c 9.409
_cell_angle_alpha 75.90
_cell_angle_beta 75.90
_cell_angle_gamma 90.00
_space_group_name_H-M_alt 'P 1'
_space_group_IT_number 1
_space_group_name_Hall 'P 1'
loop_
_atom_site_label
_atom_site_fract_x
_atom_site_fract_y
_atom_site_fract_z
_atom_site_occupancy
Pb1 0.750 0.250 0.500 1
Pb2 0.250 0.750 0.500 1
Te1 0.402 0.402 0.196 1
Te2 0.598 0.598 0.804 1
Ba1 0.000 0.000 0.000 1


# UAl2CuO8, relaxed, DFT PBE
# crystal system: monoclinic
# energy relative to the elements, uncorrected: -2.19 eV per atom
# total magnetization: 1.967 μB per formula unit
data_UAl2CuO8
_chemical_formula_sum 'U1 Al2 Cu1 O8'
_cell_length_a 4.667
_cell_length_b 4.665
_cell_length_c 5.996
_cell_angle_alpha 89.93
_cell_angle_beta 90.07
_cell_angle_gamma 90.38
_space_group_name_H-M_alt 'P 1'
_space_group_IT_number 1
_space_group_name_Hall 'P 1'
loop_
_atom_site_label
_atom_site_fract_x
_atom_site_fract_y
_atom_site_fract_z
_atom_site_occupancy
U1 0.000 0.000 0.000 1
Al1 0.500 0.500 0.742 1
Al2 0.500 0.500 0.258 1
Cu1 0.000 0.000 0.500 1
O1 0.207 0.792 0.256 1
O2 0.680 0.681 0.000 1
O3 0.793 0.207 0.257 1
O4 0.793 0.208 0.744 1
O5 0.320 0.319 0.000 1
O6 0.207 0.793 0.743 1
O7 0.685 0.685 0.500 1
O8 0.315 0.315 0.500 1


# K2CrPbBr6, relaxed, DFT PBE
# crystal system: triclinic
# energy relative to the elements, uncorrected: -1.14 eV per atom
# total magnetization: 4.000 μB per formula unit
data_K2CrPbBr6
_chemical_formula_sum 'K2 Cr1 Pb1 Br6'
_cell_length_a 7.878
_cell_length_b 7.857
_cell_length_c 7.783
_cell_angle_alpha 119.26
_cell_angle_beta 120.70
_cell_angle_gamma 91.03
_space_group_name_H-M_alt 'P 1'
_space_group_IT_number 1
_space_group_name_Hall 'P 1'
loop_
_atom_site_label
_atom_site_fract_x
_atom_site_fract_y
_atom_site_fract_z
_atom_site_occupancy
K1 0.730 0.228 0.496 1
K2 0.270 0.773 0.503 1
Cr1 0.000 0.000 0.000 1
Pb1 0.500 0.500 0.000 1
Br1 0.821 0.843 0.127 1
Br2 0.738 0.672 0.539 1
Br3 0.178 0.158 0.873 1
Br4 0.729 0.200 0.917 1
Br5 0.262 0.329 0.461 1
Br6 0.271 0.801 0.083 1


# BeAl2Sn, relaxed, DFT PBE
# E_form: 48 kJ per mole of atoms
# energy above the lowest structure with this stoichiometry: 0.191 eV/atom
# crystal system: cubic
# total magnetization: 0.000 μB per formula unit
data_BeAl2Sn
_chemical_formula_sum 'Be1 Al2 Sn1'
_cell_length_a 4.686
_cell_length_b 4.686
_cell_length_c 4.686
_cell_angle_alpha 60.00
_cell_angle_beta 60.00
_cell_angle_gamma 60.00
_space_group_name_H-M_alt 'P 1'
_space_group_IT_number 1
_space_group_name_Hall 'P 1'
loop_
_atom_site_label
_atom_site_fract_x
_atom_site_fract_y
_atom_site_fract_z
_atom_site_occupancy
Be1 0.000 0.000 0.000 1
Sn1 0.500 0.500 0.500 1
Al1 0.250 0.250 0.250 1
Al2 0.750 0.750 0.750 1